A plane-wave DFT calculation with PBE was carried out for a relaxed CdGaOs2F crystal.

Properties
- Energy: -4.624 eV per atom
- ΔE_f (raw): 1.0303 eV per atom
- Volume: 81 Å³/f.u.
- DOS(E_F): 0.948 states/eV per atom

```
data_CdGaOs2F
_chemical_formula_sum 'Cd1 Ga1 Os2 F1'
_cell_length_a 4.273
_cell_length_b 4.424
_cell_length_c 4.273
_cell_angle_alpha 90.00
_cell_angle_beta 90.00
_cell_angle_gamma 90.00
_space_group_name_H-M_alt 'P 1'
_space_group_IT_number 1
loop_
_space_group_symop_operation_xyz
'x,y,z'
loop_
_atom_site_label
_atom_site_type_symbol
_atom_site_fract_x
_atom_site_fract_y
_atom_site_fract_z
F1 F 0.000 0.000 0.000
Os1 Os 0.500 0.000 0.000
Cd1 Cd 0.500 0.500 0.500
Ga1 Ga 0.000 0.500 0.000
Os2 Os 0.000 0.000 0.500
```